(1)
Computed, not measured: a relaxed Ac3ScCd4 crystal at the GGA-PBE level of DFT.

D(E_F)	1.168	states/eV/atom
energy of formation	-251	meV per atom
crystal system	tetragonal
calculated volume	30.54	A^3/atom

a b c (Å): 3.785 3.785 17.054
angles (deg): 90.00 90.00 90.00
Space group P4/mmm (No. 123)
One atom of each set of equivalent atoms:
Ac1 0.000 0.000 0.000 [1 per cell]
Ac2 0.000 0.000 0.271 [2 per cell]
Sc1 0.000 0.000 0.500 [1 per cell]
Cd1 0.500 0.500 0.136 [2 per cell]
Cd2 0.500 0.500 0.408 [2 per cell]


(2)
Computed, not measured: a relaxed Na2ZnBr2F2 crystal at the GGA-PBE level of DFT.

D(E_F)	0.000	states/eV/atom
crystal system	monoclinic
calculated volume	19.94	A^3/atom
raw total energy	-24.322	eV/f.u.

a b c (Å): 12.301 3.841 7.051
angles (deg): 90.00 123.08 90.00
Space group C2/m (No. 12)
One atom of each set of equivalent atoms:
Na1 0.207 0.000 0.265 [4 per cell]
Zn1 0.000 0.000 0.500 [2 per cell]
Br1 0.066 0.500 0.812 [4 per cell]
F1 0.180 0.000 0.567 [4 per cell]


(3)
Computed, not measured: a relaxed LaMg3Al crystal at the GGA-PBE level of DFT.

energy above the most stable polymorph in this dataset	1.0642	eV per atom
D(E_F)	1.247	states/eV/atom
energy of formation	1278	meV per atom
crystal system	cubic
calculated volume	45.48	A^3/atom

a b c (Å): 6.104 6.104 6.104
angles (deg): 90.00 90.00 90.00
Space group Pm-3m (No. 221)
One atom of each set of equivalent atoms:
La1 0.000 0.000 0.000 [1 per cell]
Mg1 0.000 0.000 0.500 [3 per cell]
Al1 0.500 0.500 0.500 [1 per cell]


(4)
Computed, not measured: a relaxed BaY2Ta crystal at the GGA-PBE level of DFT.

energy above the most stable polymorph in this dataset	0.3588	eV per atom
D(E_F)	1.438	states/eV/atom
energy of formation	738	meV per atom
crystal system	orthorhombic
calculated volume	30.17	A^3/atom

a b c (Å): 4.774 5.079 9.954
angles (deg): 90.00 90.00 90.00
Space group Imm2 (No. 44)
One atom of each set of equivalent atoms:
Ba1 0.000 0.000 0.000 [2 per cell]
Y1 0.000 0.000 0.483 [2 per cell]
Y2 0.000 0.500 0.240 [2 per cell]
Ta1 0.000 0.500 0.752 [2 per cell]


What is the formula in the first record? Ac3ScCd4